The following is a DFT calculation (GGA-PBE) of a relaxed structure of Ba3Fe5I12.

The space group is Ia-3d (No. 230) and the conventional cell measures 18.039, 18.039 and 18.039 Å, with angles of 90.00, 90.00 and 90.00 degrees. The asymmetric unit holds Ba at (0.000, 0.250, 0.125), Fe at (0.000, 0.000, 0.000), Fe at (0.000, 0.250, 0.375) and I at (0.034, 0.053, 0.646).

The energy relative to the elements, uncorrected is -1110 kJ/mol of formula units. As for the electronic total energy: -3.910 eV per atom. The calculated density is 5.01 Mg/m³.